1.
First-principles (GGA-PBE) data for a geometry-optimized CaTb3P structure, as listed in Alexandria via LeMat-Bulk.

The calculation puts the final energy at -4.713 eV/atom.

abc: 5.463 5.463 5.463
angles: 90.00 90.00 90.00
Space group Pm-3m (No. 221)
Symmetry-distinct sites (fractional):
Ca (0.000, 0.000, 0.000) (multiplicity 1)
Tb (0.000, 0.500, 0.500) (multiplicity 3)
P (0.500, 0.500, 0.500) (multiplicity 1)


2.
First-principles (GGA-PBE) data for a geometry-optimized CaTbP structure, as listed in Alexandria via LeMat-Bulk.

The calculation puts the final energy at -4.894 eV/atom.

abc: 4.0189 4.0189 6.6027
angles: 90.00 90.00 120.00
Space group P3m1 (No. 156)
Symmetry-distinct sites (fractional):
Ca (0.0000, 0.0000, 0.0000) (multiplicity 1)
Tb (0.6667, 0.3333, 0.4838) (multiplicity 1)
P (0.3333, 0.6667, 0.2630) (multiplicity 1)


Look up the final energy of the second one.
-4.894 eV/atom